# K2BaCo

K2BaCo after structural relaxation (PBE-GGA, the Alexandria database).

CIF file:
```
data_K2BaCo
_chemical_formula_sum 'K2 Ba1 Co1'
_cell_length_a 4.046
_cell_length_b 4.046
_cell_length_c 11.479
_cell_angle_alpha 90.00
_cell_angle_beta 90.00
_cell_angle_gamma 90.00
_symmetry_space_group_name_H-M 'P 4 m m'
_symmetry_Int_Tables_number 99
loop_
_symmetry_equiv_pos_as_xyz
'x,y,z'
'-y,x,z'
'-x,-y,z'
'y,-x,z'
'-x,y,z'
'y,x,z'
'x,-y,z'
'-y,-x,z'
loop_
_atom_site_label
_atom_site_fract_x
_atom_site_fract_y
_atom_site_fract_z
K1 0.000 0.000 0.000
K2 0.500 0.500 0.345
Ba1 0.000 0.000 0.675
Co1 0.500 0.500 0.801
```

Summary:
Spin magnetization: 0.9 Bohr magnetons per cell
Calculated total energy: -0.084 hartree per atom
Relative energy among the computed polymorphs: 0.0 kJ per mole of atoms
Energy of formation from the pure elements: 2.10 eV per formula unit